Record 1
Compound: BaLaCo2
Source: Alexandria
Functional: PBE-GGA
Structure: optimized geometry

Cell lengths 4.0894, 4.1701, 14.4079 Å; angles 90.00, 90.00, 90.00 degrees
Closest atoms and distances in Å follow each position.
Space group Imm2 (No. 44)
Inequivalent atoms, fractional coordinates:
1 Ba 0.0000 0.0000 0.0000  6 Co 3.23-3.37
2 La 0.0000 0.5000 0.2619  2 Co 2.72
3 Co 0.0000 0.0000 0.3833  2 Co 2.19
4 Co 0.0000 0.5000 0.8287  2 Co 2.19

E above lowest polymorph: 39 kJ/mol of formula units
Fermi-level density of states: 2.77 states/eV/f.u.
ΔH_f (0 K): 0.1600 eV per atom
theoretical density: 5.3 g cm⁻³
total magnetization: 1.6 Bohr magnetons per cell

=====

Record 2
Compound: Ba2LaCo
Source: Alexandria
Functional: PBE-GGA
Structure: optimized geometry

Cell lengths 5.2362, 15.5761, 4.3565 Å; angles 90.00, 90.00, 90.00 degrees
Closest atoms and distances in Å follow each position.
Space group Cmmm (No. 65)
Inequivalent atoms, fractional coordinates:
1 Ba 0.0000 0.1426 0.0000  2 Co 3.11
2 La 0.0000 0.5000 0.5000  2 Co 2.62
3 Co 0.0000 0.0000 0.5000  2 La 2.62

E above lowest polymorph: 28 kJ/mol of formula units
Fermi-level density of states: 3.64 states/eV/f.u.
ΔH_f (0 K): 0.1891 eV per atom
theoretical density: 4.4 g cm⁻³
total magnetization: 0.0 Bohr magnetons per cell

=====

- Which formula does entry 1 have?
  BaLaCo2